Record 1
A PBEsol-optimized structure of V3O5F, computed with meta-GGA SCAN.

Cell: 5.3982 5.3982 7.1672 Å, 110.36 110.36 72.04°
Last column: nearest neighbours and their distance in Å.
Atoms (fractional coordinates):
V1 0.0000 0.0000 0.0000  5 O 1.87-1.99, 1 F 2.04
V2 0.0114 0.0114 0.5265  5 O 1.84-1.92
V3 0.3391 0.3391 0.8663  5 O 1.84-1.92
V4 0.3613 0.3613 0.3343  4 O 1.83-1.89
V5 0.6821 0.6821 0.1818  6 O 1.92-1.97
V6 0.6956 0.6956 0.6867  5 O 1.86-1.95, 1 F 2.04
O1 0.0543 0.6487 0.3495  3 V 1.89-1.94
O2 0.2421 0.2421 0.0491  3 V 1.84-1.99
O3 0.3127 0.7143 0.0167  3 V 1.90-1.92
O4 0.3840 0.9836 0.6822  3 V 1.91-1.92
O5 0.5854 0.5854 0.3848  3 V 1.83-1.97
O6 0.6487 0.0543 0.3495  3 V 1.89-1.94
O7 0.7143 0.3127 0.0167  3 V 1.90-1.92
O8 0.7790 0.7790 0.9825  3 V 1.88-1.95
O9 0.9172 0.9172 0.7125  3 V 1.84-1.87
O10 0.9836 0.3840 0.6822  3 V 1.91-1.92
F1 0.1157 0.1157 0.3149  3 V 2.04-2.09
F2 0.4508 0.4508 0.6499  3 V 2.04-2.16

Calculated values
The polymorph energy (0 for the lowest one) is 0.002 eV/atom. As for the space group: Cm (8).


Record 2
A PBEsol-optimized structure of VOF3, computed with meta-GGA SCAN.

Cell: 5.2200 5.2200 10.9657 Å, 90.29 90.29 61.37°
Last column: nearest neighbours and their distance in Å.
Atoms (fractional coordinates):
V1 0.0000 0.0000 0.0000  4 F 1.75-1.80, 2 O 1.87
V2 0.0000 0.0000 0.5000  4 F 1.75-1.80, 2 O 1.87
V3 0.4196 0.5804 0.7500  2 O 1.68, 2 F 1.73
V4 0.5804 0.4196 0.2500  2 O 1.68, 2 F 1.73
O1 0.2054 0.7614 0.8682  2 V 1.68-1.87
O2 0.2386 0.7946 0.6318  2 V 1.68-1.87
O3 0.7614 0.2054 0.3682  2 V 1.68-1.87
O4 0.7946 0.2386 0.1318  2 V 1.68-1.87
F1 0.1823 0.2036 0.9792  1 V 1.75
F2 0.2036 0.1823 0.4792  1 V 1.75
F3 0.2388 0.7157 0.3978  1 V 1.80
F4 0.2825 0.3618 0.2311  1 V 1.73
F5 0.2843 0.7612 0.1022  1 V 1.80
F6 0.3618 0.2825 0.7311  1 V 1.73
F7 0.6382 0.7175 0.2689  1 V 1.73
F8 0.7157 0.2388 0.8978  1 V 1.80
F9 0.7175 0.6382 0.7689  1 V 1.73
F10 0.7612 0.2843 0.6022  1 V 1.80
F11 0.7964 0.8177 0.5208  1 V 1.75
F12 0.8177 0.7964 0.0208  1 V 1.75

Calculated values
As for the space group: C2/c (15).


Asked for density of states at the Fermi level across the records above, the calculation gives 0.318 0.000 states/eV/atom in order.
Asked for energy relative to the elements, uncorrected across the records above, the calculation gives -2.76 -2.73 eV/atom in order.